[1]
VASP calculation (PBEsol) on a relaxed LiLa2Os crystal.

Cell: 3.4472 3.4472 8.7872 Å, 90.00 90.00 90.00°
Fractional positions:
La 0.0000 0.0000 0.6997
La 0.0000 0.0000 0.3003
Os 0.5000 0.5000 0.5000
Li 0.5000 0.5000 0.0000

For the distance to the lowest polymorph of the same formula, the calculation gives 33 meV/atom. The space-group type is P4/mmm, No. 123. As for the calculated volume: 104 Å³ per cell. Its theoretical density is 7.6 g/cm³. The total magnetization comes out at 0.0 Bohr magnetons per cell. The total energy comes out at -24.82 eV/cell.

---

[2]
VASP calculation (PBEsol) on a relaxed LiLa2Os crystal.

Cell: 5.0618 5.0651 5.0651 Å, 60.02 60.02 60.02°
Fractional positions:
La 0.2501 0.7499 0.7499
La 0.7499 0.2501 0.2501
Os 0.0000 0.5000 0.5000
Li 0.5000 0.0000 0.0000

For the distance to the lowest polymorph of the same formula, the calculation gives 0 meV/atom. The space-group type is Fm-3m, No. 225. As for the calculated volume: 92 Å³ per cell. Its theoretical density is 8.6 g/cm³. The total magnetization comes out at 0.0 Bohr magnetons per cell. The total energy comes out at -24.95 eV/cell.

---

[3]
VASP calculation (PBEsol) on a relaxed LiLaOs2 crystal.

Cell: 4.5966 4.5966 4.5966 Å, 60.00 60.00 60.00°
Fractional positions:
La 0.5000 0.5000 0.5000
Li 0.2500 0.2500 0.2500
Os 0.0000 0.0000 0.0000
Os 0.7500 0.7500 0.7500

For the distance to the lowest polymorph of the same formula, the calculation gives 403 meV/atom. The space-group type is F-43m, No. 216. As for the calculated volume: 69 Å³ per cell. Its theoretical density is 12.7 g/cm³. The total magnetization comes out at 0.0 Bohr magnetons per cell. The total energy comes out at -29.78 eV/cell.

---

[4]
VASP calculation (PBEsol) on a relaxed LiLaOs2 crystal.

Cell: 3.0614 5.1454 5.1454 Å, 119.97 90.00 90.00°
Fractional positions:
La 0.5000 0.0000 0.0000
Li 0.5000 0.5000 0.5000
Os 0.0000 0.5000 0.0000
Os 0.0000 0.0000 0.5000

For the distance to the lowest polymorph of the same formula, the calculation gives 546 meV/atom. The space-group type is Cmmm, No. 65. As for the calculated volume: 70 Å³ per cell. Its theoretical density is 12.4 g/cm³. The total magnetization comes out at 0.0 Bohr magnetons per cell. The total energy comes out at -29.21 eV/cell.

---

What is the formula in the second record? LiLa2Os

---

Which formula does entry 1 have? LiLa2Os

---

Among the records above, which one has the highest distance to the lowest polymorph of the same formula? number 4